[1]
{
  "formula": "PaSn4Se7",
  "functional": "PBE-GGA",
  "state": "relaxed",
  "lattice": [[4.1645, 0.0000, 0.0000], [-2.0822, 6.6482, -1.9166], [0.0000, -0.0835, 13.1700]],
  "species": ["Pa", "Sn", "Sn", "Sn", "Sn", "Se", "Se", "Se", "Se", "Se", "Se", "Se"],
  "fractional_positions": [[0.8900, 0.7800, 0.5785], [0.6692, 0.3385, 0.8427], [0.3242, 0.6484, 0.1570], [0.9899, 0.9799, 0.0001], [0.1397, 0.2794, 0.4213], [0.7574, 0.5147, 0.3728], [0.2756, 0.5512, 0.6318], [0.3339, 0.6678, 0.9467], [0.6370, 0.2740, 0.0402], [0.0133, 0.0265, 0.7828], [0.9709, 0.9418, 0.2016], [0.4990, 0.9979, 0.5247]],
  "e_form_raw_ev_per_atom": -0.661,
  "sg": "Cm",
  "volume_a3_per_cell": 363.96
}



[2]
{
  "formula": "KCaTlCd2",
  "functional": "PBE-GGA",
  "state": "relaxed",
  "lattice": [[5.8763, 0.0000, 0.0000], [0.0000, 6.0409, 0.0000], [0.0000, 0.0000, 5.8763]],
  "species": ["K", "Tl", "Ca", "Cd", "Cd"],
  "fractional_positions": [[0.0000, 0.0000, 0.0000], [0.0000, 0.5000, 0.0000], [0.5000, 0.5000, 0.5000], [0.0000, 0.0000, 0.5000], [0.5000, 0.0000, 0.0000]],
  "sg": "P4/mmm",
  "volume_a3_per_cell": 208.59,
  "delta_e_f_ev_per_atom": 0.49
}



[3]
{
  "formula": "Ba2CaSi",
  "functional": "PBE-GGA",
  "state": "relaxed",
  "lattice": [[4.0907, 0.0012, 0.0000], [-0.0010, 4.0907, 0.0000], [0.0000, 0.0000, 10.0819]],
  "species": ["Ba", "Ba", "Ca", "Si"],
  "fractional_positions": [[0.0000, 0.0000, 0.9294], [0.0000, 0.0000, 0.5706], [0.5000, 0.5000, 0.2500], [0.5000, 0.5000, 0.7500]],
  "e_form_raw_ev_per_atom": -0.084,
  "de_polymorph_mev_per_atom": 55,
  "sg": "P4/mmm",
  "volume_a3_per_cell": 168.71
}



[4]
{
  "formula": "RbHfI2",
  "functional": "PBE-GGA",
  "state": "relaxed",
  "lattice": [[-1.6158, -0.4541, 6.7602], [-6.5834, -1.5374, -1.6768], [-2.2068, -9.0073, 2.4559]],
  "species": ["I", "I", "I", "I", "Hf", "Hf", "Rb", "Rb"],
  "fractional_positions": [[0.7226, 0.1250, 0.2500], [0.0274, 0.6250, 0.2500], [0.3750, 0.2774, 0.7500], [0.8750, 0.9726, 0.7500], [0.0000, 0.0000, 0.0000], [0.7500, 0.2500, 0.5000], [0.5000, 0.5000, 0.0000], [0.2500, 0.7500, 0.5000]],
  "e_form_raw_ev_per_atom": -0.065,
  "de_polymorph_mev_per_atom": 0,
  "sg": "I-42d",
  "volume_a3_per_cell": 399.42
}



[5]
{
  "formula": "LaTbDy2Tl4",
  "functional": "PBE-GGA",
  "state": "relaxed",
  "lattice": [[-0.6012, -3.3254, 4.2606], [1.3845, -5.2416, -0.4253], [8.5319, -0.8901, 3.9797]],
  "species": ["La", "Tb", "Dy", "Dy", "Tl", "Tl", "Tl", "Tl"],
  "fractional_positions": [[0.0000, 0.0000, 0.0000], [0.5000, 0.5000, 0.5000], [0.7506, 0.7506, 0.7481], [0.2494, 0.2494, 0.2519], [0.3774, 0.3774, 0.8679], [0.8730, 0.8730, 0.3811], [0.1270, 0.1270, 0.6189], [0.6226, 0.6226, 0.1321]],
  "sg": "R-3m",
  "volume_a3_per_cell": 228.45,
  "delta_e_f_ev_per_atom": -0.36
}



[6]
{
  "formula": "CoWSeBr2",
  "functional": "PBE-GGA",
  "state": "relaxed",
  "lattice": [[4.7075, 0.0000, 0.0000], [0.0000, 4.7075, 0.0000], [0.0000, 0.0000, 4.9609]],
  "species": ["Co", "Se", "Br", "Br", "W"],
  "fractional_positions": [[0.0000, 0.0000, 0.0000], [0.0000, 0.0000, 0.5000], [0.0000, 0.5000, 0.0000], [0.5000, 0.0000, 0.0000], [0.5000, 0.5000, 0.5000]],
  "e_form_raw_ev_per_atom": 1.109,
  "de_polymorph_mev_per_atom": 151,
  "sg": "P4/mmm",
  "volume_a3_per_cell": 109.94
}



[7]
{
  "formula": "Zr2VIr",
  "functional": "PBE-GGA",
  "state": "relaxed",
  "lattice": [[-4.6410, 0.0877, -5.7954], [0.0307, -7.4239, -0.1369], [-4.5314, -3.7102, -1.1840]],
  "species": ["Ir", "Ir", "Zr", "Zr", "Zr", "Zr", "V", "V"],
  "fractional_positions": [[0.0000, 0.0000, 0.0000], [0.7500, 0.2500, 0.5000], [0.6446, 0.1250, 0.2500], [0.1054, 0.6250, 0.2500], [0.3750, 0.3554, 0.7500], [0.8750, 0.8946, 0.7500], [0.5000, 0.5000, 0.0000], [0.2500, 0.7500, 0.5000]],
  "de_polymorph_mev_per_atom": 589,
  "sg": "I-42d",
  "volume_a3_per_cell": 157.24,
  "delta_e_f_ev_per_atom": 0.14
}



[8]
{
  "formula": "Ba3GeCl2",
  "functional": "PBE-GGA",
  "state": "relaxed",
  "lattice": [[8.2411, 0.2282, 0.3931], [-1.6081, 8.0156, -0.2982], [-1.6081, -4.2327, 6.8134]],
  "species": ["Ba", "Ba", "Ba", "Ba", "Ba", "Ba", "Ge", "Ge", "Cl", "Cl", "Cl", "Cl"],
  "fractional_positions": [[0.9985, 0.1894, 0.3440], [0.4985, 0.3440, 0.1894], [0.0000, 0.5000, 0.0000], [0.0015, 0.8106, 0.6560], [0.5000, 0.0000, 0.5000], [0.5015, 0.6560, 0.8106], [0.2500, 0.5890, 0.4110], [0.7500, 0.4110, 0.5890], [0.2500, 0.9166, 0.0834], [0.2500, 0.2491, 0.7509], [0.7500, 0.0834, 0.9166], [0.7500, 0.7509, 0.2491]],
  "e_form_raw_ev_per_atom": -1.509,
  "sg": "C2/c",
  "volume_a3_per_cell": 450.03
}